(1)
16
Lattice="6.1782 0.0000 0.0000 0.0000 7.9011 -4.5617 0.0000 0.0000 9.1234" Properties=species:S:1:pos:R:3 comment="Np3Bi3Sb2 (PBE, optimized geometry)" mass_density_kg_m3=11793 n_ef_per_ev_atom=3.1793 formation_energy_uncorrected_mev_per_atom=-93 volume_a3_per_atom=27.83 pbc="T T T"
Bi 4.6336 0.0000 2.1133
Bi 1.5445 6.0709 -3.5050
Bi 4.6336 6.0709 3.5050
Bi 1.5445 1.8302 1.0567
Bi 4.6336 1.8302 -1.0567
Bi 1.5445 0.0000 7.0101
Np 1.5445 3.1647 -1.8272
Np 4.6336 3.1647 1.8272
Np 4.6336 4.7363 -2.7345
Np 1.5445 0.0000 3.6543
Np 4.6336 0.0000 5.4691
Np 1.5445 4.7363 2.7345
Sb 0.0000 2.6337 4.5617
Sb 3.0891 2.6337 4.5617
Sb 0.0000 5.2674 0.0000
Sb 3.0891 5.2674 0.0000

***

(2)
5
Lattice="6.7429 0.0000 0.0000 0.0000 6.7429 0.0000 0.0000 0.0000 5.3433" Properties=species:S:1:pos:R:3 comment="BaAuI2N (PBE, optimized geometry)" polymorph_energy_ev_per_atom=0.6008 mass_density_kg_m3=4115 n_ef_per_ev_atom=0.4643 formation_energy_uncorrected_mev_per_atom=529 volume_a3_per_atom=48.59 pbc="T T T"
I 3.3714 0.0000 0.0000
I 0.0000 3.3714 0.0000
Ba 0.0000 0.0000 0.0000
Au 3.3714 3.3714 2.6717
N 0.0000 0.0000 2.6717

***

(3)
12
Lattice="-3.7190 -2.7037 -2.0665 0.1884 -4.3695 5.3776 -6.6898 5.5661 4.7570" Properties=species:S:1:pos:R:3 comment="CeThAg (PBE, optimized geometry)" formation_enthalpy_0k_ev_per_atom=0.126 polymorph_energy_ev_per_atom=0.1027 mass_density_kg_m3=9200 n_ef_per_ev_atom=2.4253 volume_a3_per_atom=28.88 pbc="T T T"
Ag -4.6396 -1.5443 7.2960
Ag -1.3659 -2.6770 2.8863
Ag -8.8545 1.1699 5.1818
Ag -5.5808 0.0372 0.7721
Ce -4.2109 -2.4686 1.5853
Ce -7.6068 1.4979 2.5073
Ce -6.0095 0.9615 6.4828
Ce -2.6136 -3.0050 5.5608
Th -2.8500 -5.6006 3.2338
Th -7.3704 4.0935 4.8343
Th -3.9840 0.3483 3.6399
Th -6.2364 -1.8554 4.4282

***

(4)
4
Lattice="-2.7262 0.4306 -4.1032 -2.1919 -3.9848 -1.9417 -4.9161 -0.4792 0.2361" Properties=species:S:1:pos:R:3 comment="LuCuSnHg (PBE, optimized geometry)" formation_enthalpy_0k_ev_per_atom=-0.179 mass_density_kg_m3=10833 n_ef_per_ev_atom=0.5443 volume_a3_per_atom=21.38 pbc="T T T"
Hg -7.3757 -3.0250 -4.3566
Lu -4.9171 -2.0167 -2.9044
Cu -2.4586 -1.0083 -1.4522
Sn 0.0000 0.0000 0.0000

***

(5)
8
Lattice="7.5949 0.0000 0.0000 0.0000 7.5949 0.0000 3.7975 3.7975 2.7410" Properties=species:S:1:pos:R:3 comment="CdHgW2 (PBE, optimized geometry)" formation_enthalpy_0k_ev_per_atom=1.464 polymorph_energy_ev_per_atom=1.0333 mass_density_kg_m3=14298 n_ef_per_ev_atom=0.6472 volume_a3_per_atom=19.76 pbc="T T T"
Cd 3.7975 3.7975 0.0000
Cd 3.7975 7.5949 1.3705
W 5.7167 1.8987 0.6853
W 5.6962 5.6757 2.0558
W 9.4936 9.5142 2.0558
W 1.8782 5.6962 0.6853
Hg 0.0000 0.0000 0.0000
Hg 7.5949 3.7975 1.3705

***

(6)
5
Lattice="-4.9619 -1.2629 1.7176 1.7419 0.1069 5.1107 -1.2291 5.2497 0.3091" Properties=species:S:1:pos:R:3 comment="KSb3P (PBE, optimized geometry)" polymorph_energy_ev_per_atom=0.0000 mass_density_kg_m3=4590 n_ef_per_ev_atom=1.2043 formation_energy_uncorrected_mev_per_atom=260 volume_a3_per_atom=31.50 pbc="T T T"
P 0.0000 0.0000 0.0000
Sb -2.4809 -0.6314 0.8588
Sb -0.6146 2.6248 0.1545
Sb 0.8710 0.0535 2.5554
K -2.2245 2.0469 3.5687

***

(7)
11
Lattice="4.2652 0.0000 0.0000 0.0000 4.2652 0.0000 -2.1326 -2.1326 16.3732" Properties=species:S:1:pos:R:3 comment="Th3Mg2Cd6 (PBE, optimized geometry)" formation_enthalpy_0k_ev_per_atom=0.112 mass_density_kg_m3=7912 n_ef_per_ev_atom=0.7978 volume_a3_per_atom=27.08 pbc="T T T"
Mg 2.1326 2.1326 4.4935
Mg 0.0000 0.0000 11.8797
Cd 2.1326 0.0000 2.5506
Cd 2.1326 0.0000 13.8227
Cd 2.1326 2.1326 7.4284
Cd 0.0000 2.1326 2.5506
Cd 0.0000 2.1326 13.8227
Cd 0.0000 0.0000 8.9448
Th 2.1326 2.1326 10.7070
Th 0.0000 0.0000 0.0000
Th 0.0000 0.0000 5.6662

***

(8)
10
Lattice="-4.2776 -2.9693 -0.1112 -0.7245 -3.4783 3.8083 -3.3404 4.6761 3.6355" Properties=species:S:1:pos:R:3 comment="Nb2V3 (PBE, optimized geometry)" formation_enthalpy_0k_ev_per_atom=0.287 mass_density_kg_m3=6947 n_ef_per_ev_atom=1.3047 volume_a3_per_atom=16.19 pbc="T T T"
Nb -2.8287 1.7371 2.7899
Nb -5.5138 -3.5087 4.5427
Nb -6.3361 -0.0778 5.7338
Nb -2.0063 -1.6937 1.5988
V -5.4082 1.0374 3.2359
V -4.1712 -0.8858 3.6663
V -3.6317 0.7829 5.1956
V -4.7107 -2.5544 2.1370
V -7.6180 1.7068 3.5243
V -2.9342 -2.8090 4.0968

***

(9)
4
Lattice="4.8238 0.0000 0.0000 2.4119 4.1775 0.0000 2.4119 1.3925 3.9386" Properties=species:S:1:pos:R:3 comment="YLuBeCu (PBE, optimized geometry)" formation_enthalpy_0k_ev_per_atom=-0.087 mass_density_kg_m3=7039 n_ef_per_ev_atom=0.9613 volume_a3_per_atom=19.84 pbc="T T T"
Cu 0.0000 0.0000 0.0000
Y 7.2357 4.1775 2.9539
Lu 2.4119 1.3925 0.9846
Be 4.8238 2.7850 1.9693

***

(10)
9
Lattice="-3.4310 2.9877 -1.5873 -2.0035 -5.8049 0.7178 -0.6841 3.6782 8.4018" Properties=species:S:1:pos:R:3 comment="Ca3In4Ag2 (PBE, optimized geometry)" formation_enthalpy_0k_ev_per_atom=-0.308 polymorph_energy_ev_per_atom=0.0989 mass_density_kg_m3=5429 n_ef_per_ev_atom=0.5361 volume_a3_per_atom=27.02 pbc="T T T"
Ag -2.2810 -1.5064 2.0950
Ag -3.8376 2.3673 5.4374
Ca -2.8435 1.8752 2.3623
Ca -3.2751 -1.0143 5.1700
Ca 0.0000 0.0000 0.0000
In -3.1866 0.0578 -0.3168
In -1.0899 1.6534 5.4679
In -2.9320 0.8031 7.8491
In -5.0287 -0.7925 2.0644

***

(11)
13
Lattice="5.4465 0.0000 2.2368 2.7306 7.0546 1.1006 0.0432 0.0035 7.6442" Properties=species:S:1:pos:R:3 comment="TmMg7Cd5 (PBE, optimized geometry)" formation_enthalpy_0k_ev_per_atom=-0.098 mass_density_kg_m3=5106 n_ef_per_ev_atom=0.3954 volume_a3_per_atom=22.54 pbc="T T T"
Mg 6.4283 2.4689 7.5958
Mg 7.2375 4.5921 5.6253
Mg 3.6975 4.6187 6.4955
Mg 2.1524 1.5076 2.5085
Mg 3.3411 1.4749 7.3634
Mg 4.5048 2.4870 4.5299
Mg 4.8930 5.5468 3.5846
Cd 2.7682 7.0558 4.8749
Cd 4.1351 3.4806 9.3138
Cd 5.4977 7.0558 5.9959
Cd 6.0436 5.6148 8.5324
Cd 1.4055 3.4806 8.1928
Tm 5.4378 0.0230 2.2581

***

(12)
8
Lattice="4.7253 0.0000 0.0000 0.0000 5.5033 1.1397 0.0000 1.2096 5.4884" Properties=species:S:1:pos:R:3 comment="HfAl6Zn (PBE, optimized geometry)" formation_enthalpy_0k_ev_per_atom=-0.110 polymorph_energy_ev_per_atom=0.0000 mass_density_kg_m3=4947 n_ef_per_ev_atom=0.3381 volume_a3_per_atom=17.03 pbc="T T T"
Al 0.0000 1.4801 1.4614
Al 0.0000 4.2630 2.3959
Al 0.0000 2.4499 4.2322
Al 2.3627 2.7517 0.5698
Al 0.0000 5.2328 5.1666
Al 2.3627 0.6048 2.7442
Hf 2.3627 0.0000 0.0000
Zn 2.3627 3.3565 3.3140